Material: HoTm2Si
Method: DFT, PBE
State: optimized geometry

SG: No. 166
E: -18.825 eV per formula unit

a b c (Å): 3.4914 3.4914 10.9272
angles (deg): 80.81 80.81 60.00
Element x y z (fractional)
Si  0.5000  0.5000  0.5000
Tm  0.1056  0.1056  0.6831
Tm  0.8944  0.8944  0.3169
Ho  0.0000  0.0000  0.0000